MgClF3 SCAN PBEsol geometry; calculated density = 2.4 Mg/m³; raw total energy = -5.349 eV per atom; crystal system = cubic; energy relative to the elements, uncorrected = -634 meV per atom
1.0
4.336 0.000 0.000
0.000 4.336 0.000
0.000 0.000 4.336
Cl F Mg
1 3 1
Direct
0.500 0.500 0.500
0.500 0.000 0.500
0.000 0.500 0.500
0.500 0.500 0.000
0.000 0.000 0.000